Entry 1:
Density functional theory data (PBE) for a relaxed structure of Zr2SiSb.

extended XYZ file:
```
4
Lattice="5.3146 -1.5908 0.0000 5.3146 1.5908 0.0000 -0.9628 0.0000 4.9281" Properties=species:S:1:pos:R:3 pbc="T T T"
Zr 0.0000 0.0000 0.0000
Zr 1.7300 0.0000 2.9758
Si 7.6824 0.0000 0.4834
Sb 4.5627 0.0000 2.3853
```

Calculated values
As for the space-group type: Cm, No. 8. Its volume is 20.83 A^3/atom. As for the energy relative to the elements, uncorrected: -0.41 eV per atom. As for the energy above the most stable polymorph in this dataset: 260 meV per atom. As for the crystal system: monoclinic.


Entry 2:
Density functional theory data (PBE) for a relaxed structure of LiCeSmGa.

extended XYZ file:
```
4
Lattice="0.0000 3.6629 3.6629 3.6629 0.0000 3.6629 3.6629 3.6629 0.0000" Properties=species:S:1:pos:R:3 pbc="T T T"
Li 0.0000 0.0000 0.0000
Ce 1.8315 1.8315 1.8315
Sm 5.4944 5.4944 5.4944
Ga 3.6629 3.6629 3.6629
```

Calculated values
As for the space-group type: F-43m, No. 216. As for the energy of formation from the pure elements: -0.8 eV per formula unit. Its volume is 24.57 A^3/atom. As for the crystal system: cubic.


Entry 3:
Density functional theory data (PBE) for a relaxed structure of DyPuBeN3.

extended XYZ file:
```
12
Lattice="6.7850 0.0000 0.0000 0.0000 3.2830 0.0000 -0.9886 0.0000 6.9559" Properties=species:S:1:pos:R:3 pbc="T T T"
Dy 1.2344 0.8207 1.1382
Dy 4.5620 2.4622 5.8176
Pu 0.6246 0.8207 4.5426
Pu 5.1718 2.4622 2.4133
Be 1.8503 2.4622 6.4163
Be 3.9460 0.8207 0.5395
N 0.5719 2.4622 2.8426
N 0.1608 2.4622 6.1390
N 2.5637 0.8207 5.8395
N 3.2327 2.4622 1.1164
N 5.6356 0.8207 0.8169
N 5.2245 0.8207 4.1133
```

Calculated values
As for the space-group type: P2_1/m, No. 11. Its volume is 12.91 A^3/atom. As for the energy relative to the elements, uncorrected: -1.22 eV per atom. As for the crystal system: monoclinic.


Entry 4:
Density functional theory data (PBE) for a relaxed structure of MgSnHSe.

extended XYZ file:
```
4
Lattice="3.2020 0.0000 0.0000 1.5660 3.5558 0.0000 0.1422 1.8891 7.7916" Properties=species:S:1:pos:R:3 pbc="T T T"
Mg 0.0000 0.0000 0.0000
Sn 3.2014 3.9514 3.3555
H 1.5955 0.3518 1.1660
Se 3.3110 3.9632 6.3320
```

Calculated values
As for the space-group type: P1, No. 1. Its volume is 22.18 A^3/atom. As for the energy above the most stable polymorph in this dataset: 83 meV per atom. As for the crystal system: triclinic.


Which formula does entry 2 have? LiCeSmGa


The highest volume belongs to which entry? LiCeSmGa


Which formula does entry 2 have? LiCeSmGa


What did the first record say?
Density functional theory data (PBE) for a relaxed structure of Zr2SiSb.

extended XYZ file:
```
4
Lattice="5.3146 -1.5908 0.0000 5.3146 1.5908 0.0000 -0.9628 0.0000 4.9281" Properties=species:S:1:pos:R:3 pbc="T T T"
Zr 0.0000 0.0000 0.0000
Zr 1.7300 0.0000 2.9758
Si 7.6824 0.0000 0.4834
Sb 4.5627 0.0000 2.3853
```

Calculated values
As for the space-group type: Cm, No. 8. Its volume is 20.83 A^3/atom. As for the energy relative to the elements, uncorrected: -0.41 eV per atom. As for the energy above the most stable polymorph in this dataset: 260 meV per atom. As for the crystal system: monoclinic.